# Ac2MnSn4Au3

Crystalline Ac2MnSn4Au3 at its relaxed geometry (PBE, Alexandria via LeMat-Bulk).

Unit cell a=4.6893 b=4.6893 c=11.6078 alpha=90.00 beta=90.00 gamma=90.00
Closest atoms and distances in Å follow each position.
Space group P-4m2 (No. 115)
Symmetry-distinct sites (fractional):
Ac (0.0000, 0.5000, 0.2427) x2  8 Sn 3.58-3.80, 6 Au 3.58-3.67, 2 Mn 3.67
Mn (0.5000, 0.5000, 0.0000) x1  4 Sn 2.77
Sn (0.0000, 0.0000, 0.5000) x1  4 Au 2.85
Sn (0.0000, 0.5000, 0.8734) x2  3 Au 2.71-2.77, 2 Mn 2.77
Sn (0.5000, 0.5000, 0.5000) x1  4 Au 2.85
Au (0.0000, 0.0000, 0.0000) x1  4 Sn 2.77
Au (0.0000, 0.5000, 0.6402) x2  5 Sn 2.71-2.85

## Properties
- DOS(E_F) (states/eV/atom) = 0.329
- calculated formation energy (meV per atom) = -539.9